(1)
First-principles (PBE) data for an optimized crystal structure of Tb2Pm2TmSc, as listed in Alexandria.

Values from the calculation:
Space-group type: Pmma, No. 51
E_tot (eV per cell): -57.99
DFT formation energy (eV/atom): 0.09

The structure in POSCAR format:
```
Tb2Pm2TmSc
1.0
6.8671 0.0000 0.0000
0.0000 5.5824 0.0000
0.0000 0.0000 9.6670
Tb Pm Tm Sc
4 4 2 2
Direct
0.2500 0.0000 0.1643
0.2500 0.5000 0.6670
0.7500 0.0000 0.8357
0.7500 0.5000 0.3330
0.0000 0.5000 0.0000
0.2500 0.0000 0.8151
0.5000 0.5000 0.0000
0.7500 0.0000 0.1849
0.2500 0.5000 0.3457
0.7500 0.5000 0.6543
0.0000 0.0000 0.5000
0.5000 0.0000 0.5000
```

(2)
First-principles (PBE) data for an optimized crystal structure of Pa4Si6Tc7, as listed in Alexandria.

Values from the calculation:
Space-group type: Im-3m, No. 229
E_tot (eV per cell): -155.16

The structure in POSCAR format:
```
Pa4Si6Tc7
1.0
-4.1564 4.1564 4.1564
4.1564 -4.1564 4.1564
4.1564 4.1564 -4.1564
Pa Si Tc
4 6 7
Direct
0.0000 0.0000 0.5000
0.0000 0.5000 0.0000
0.5000 0.0000 0.0000
0.5000 0.5000 0.5000
0.0000 0.3154 0.3154
0.0000 0.6846 0.6846
0.3154 0.0000 0.3154
0.3154 0.3154 0.0000
0.6846 0.0000 0.6846
0.6846 0.6846 0.0000
0.0000 0.0000 0.0000
0.2500 0.5000 0.7500
0.2500 0.7500 0.5000
0.5000 0.2500 0.7500
0.5000 0.7500 0.2500
0.7500 0.2500 0.5000
0.7500 0.5000 0.2500
```

(3)
First-principles (PBE) data for an optimized crystal structure of FeGeBr, as listed in Alexandria.

Values from the calculation:
Space-group type: P1, No. 1
E_tot (eV per cell): -29.92

The structure in POSCAR format:
```
FeGeBr
1.0
3.4910 0.0000 0.0000
1.7351 4.1922 0.0000
1.7403 0.9761 9.4956
Fe Ge Br
2 2 2
Direct
0.0000 0.0000 0.0000
0.0331 0.6958 0.2393
0.3433 0.1075 0.2100
0.6863 0.5649 0.0622
0.5259 0.1327 0.8162
0.9494 0.6265 0.4786
```

- Which value of E_tot does entry 1 give?
  -57.99 eV per cell